Entry 1:
Here is crystalline Ce2DyLu at its relaxed geometry from Alexandria. Energies are from PBE-GGA.

POSCAR file:
```
Ce2DyLu
1.0
3.456 0.000 0.000
0.000 3.456 0.000
0.000 0.000 9.994
Ce Dy Lu
2 1 1
direct
0.000 0.000 0.247
0.000 0.000 0.753
0.500 0.500 0.500
0.500 0.500 0.000
```

Output
The value obtained for the relative energy among the computed polymorphs is 0.019 eV per atom. Its spin magnetization is 0.3705 μB/atom. The total energy comes out at -5.1442 eV per atom. The value obtained for the density of states at the Fermi level is 10.36 states/eV/f.u. The space group is No. 123.

=====

Entry 2:
Here is crystalline In2AgHg8 at its relaxed geometry from Alexandria. Energies are from PBE-GGA.

POSCAR file:
```
In2AgHg8
1.0
5.000 0.000 0.000
0.000 5.000 0.000
0.000 0.000 11.735
In Ag Hg
2 1 8
direct
0.000 0.000 0.193
0.000 0.000 0.807
0.000 0.000 0.500
0.000 0.500 0.000
0.000 0.500 0.365
0.000 0.500 0.635
0.500 0.000 0.000
0.500 0.000 0.365
0.500 0.000 0.635
0.500 0.500 0.180
0.500 0.500 0.820
```

Output
Its spin magnetization is 0.0000 μB/atom. The total energy comes out at -0.9586 eV per atom. The value obtained for the density of states at the Fermi level is 2.04 states/eV/f.u. The space group is No. 123.

=====

Entry 3:
Here is crystalline SrRe2Sb at its relaxed geometry from Alexandria. Energies are from PBE-GGA.

POSCAR file:
```
SrRe2Sb
1.0
4.089 0.000 0.000
0.000 4.089 0.000
0.000 0.000 9.921
Sr Re Sb
2 4 2
direct
0.000 0.000 0.000
0.500 0.500 0.500
0.000 0.500 0.250
0.000 0.500 0.750
0.500 0.000 0.250
0.500 0.000 0.750
0.000 0.000 0.500
0.500 0.500 0.000
```

Output
As for the uncorrected formation energy: 4.5 eV per formula unit. Its spin magnetization is 0.0000 μB/atom. The total energy comes out at -6.5480 eV per atom. The value obtained for the density of states at the Fermi level is 4.56 states/eV/f.u. The space group is No. 139.